A plane-wave DFT calculation with PBE-GGA was carried out for an optimized crystal structure of Pm3Tm3Sc2.

The structure in CIF format:
```
data_Pm3Tm3Sc2
_cell_length_a 16.727
_cell_length_b 5.439
_cell_length_c 5.647
_cell_angle_alpha 90.00
_cell_angle_beta 108.23
_cell_angle_gamma 90.00
_symmetry_space_group_name_H-M 'C 1 2/m 1'
_symmetry_Int_Tables_number 12
loop_
_symmetry_equiv_pos_as_xyz
'x,y,z'
'-x,-y,-z'
'-x,y,-z'
'x,-y,z'
'x+1/2,y+1/2,z'
'-x+1/2,-y+1/2,-z'
'-x+1/2,y+1/2,-z'
'x+1/2,-y+1/2,z'
loop_
_atom_site_label
_atom_site_type_symbol
_atom_site_fract_x
_atom_site_fract_y
_atom_site_fract_z
_atom_site_occupancy
Pm1 Pm 0.000 0.000 0.000 1
Pm2 Pm 0.141 0.000 0.691 1
Tm1 Tm 0.000 0.500 0.500 1
Tm2 Tm 0.138 0.500 0.100 1
Sc1 Sc 0.250 0.000 0.310 1
```

## Properties
Energy of formation (eV/f.u.): 0.640
Spin magnetization (μB/cell): 0.0
Calculated total energy (hartree per atom): -0.182
ρ (g/cm3): 7.022
Energy above the lowest structure with this stoichiometry (meV/atom): 35

***

A plane-wave DFT calculation with PBE-GGA was carried out for an optimized crystal structure of Tm6Sn2Ge.

The structure in CIF format:
```
data_Tm6Sn2Ge
_cell_length_a 6.148
_cell_length_b 8.271
_cell_length_c 11.398
_cell_angle_alpha 90.00
_cell_angle_beta 120.85
_cell_angle_gamma 90.00
_symmetry_space_group_name_H-M 'P 1 21/c 1'
_symmetry_Int_Tables_number 14
loop_
_symmetry_equiv_pos_as_xyz
'x,y,z'
'-x,-y,-z'
'-x,y+1/2,-z+1/2'
'x,-y+1/2,z+1/2'
loop_
_atom_site_label
_atom_site_type_symbol
_atom_site_fract_x
_atom_site_fract_y
_atom_site_fract_z
_atom_site_occupancy
Tm1 Tm 0.078 0.173 0.451 1
Tm2 Tm 0.327 0.687 0.447 1
Tm3 Tm 0.393 0.036 0.271 1
Sn1 Sn 0.167 0.116 0.754 1
Ge1 Ge 0.000 0.000 0.000 1
```

## Properties
Energy of formation (eV/f.u.): -4.480
Spin magnetization (μB/cell): 0.0
Calculated total energy (hartree per atom): -0.179
ρ (g/cm3): 8.835

***

A plane-wave DFT calculation with PBE-GGA was carried out for an optimized crystal structure of Tb2Sm3Y6Er.

The structure in CIF format:
```
data_Tb2Sm3Y6Er
_cell_length_a 6.202
_cell_length_b 10.735
_cell_length_c 11.837
_cell_angle_alpha 90.00
_cell_angle_beta 100.01
_cell_angle_gamma 90.00
_symmetry_space_group_name_H-M 'C 1 2/m 1'
_symmetry_Int_Tables_number 12
loop_
_symmetry_equiv_pos_as_xyz
'x,y,z'
'-x,-y,-z'
'-x,y,-z'
'x,-y,z'
'x+1/2,y+1/2,z'
'-x+1/2,-y+1/2,-z'
'-x+1/2,y+1/2,-z'
'x+1/2,-y+1/2,z'
loop_
_atom_site_label
_atom_site_type_symbol
_atom_site_fract_x
_atom_site_fract_y
_atom_site_fract_z
_atom_site_occupancy
Tb1 Tb 0.000 0.167 0.000 1
Sm1 Sm 0.000 0.000 0.500 1
Sm2 Sm 0.000 0.334 0.500 1
Y1 Y 0.249 0.333 0.248 1
Y2 Y 0.250 0.000 0.248 1
Er1 Er 0.000 0.500 0.000 1
```

## Properties
Energy of formation (eV/f.u.): 0.214
Spin magnetization (μB/cell): 0.0
Calculated total energy (hartree per atom): -0.204
ρ (g/cm3): 6.289

***

A plane-wave DFT calculation with PBE-GGA was carried out for an optimized crystal structure of MoRu3Cl.

The structure in CIF format:
```
data_MoRu3Cl
_cell_length_a 4.327
_cell_length_b 4.327
_cell_length_c 4.327
_cell_angle_alpha 90.00
_cell_angle_beta 90.00
_cell_angle_gamma 90.00
_symmetry_space_group_name_H-M 'P m -3 m'
_symmetry_Int_Tables_number 221
_symmetry_space_group_name_Hall '-P 4 2 3'
loop_
_atom_site_label
_atom_site_type_symbol
_atom_site_fract_x
_atom_site_fract_y
_atom_site_fract_z
_atom_site_occupancy
Mo1 Mo 0.000 0.000 0.000 1
Ru1 Ru 0.000 0.500 0.500 1
Cl1 Cl 0.500 0.500 0.500 1
```

## Properties
Raw formation energy (meV/atom): 1325
Spin magnetization (μB/cell): 0.9
Calculated total energy (hartree per atom): -0.249
ρ (g/cm3): 8.908
Energy above the lowest structure with this stoichiometry (meV/atom): 0

***

A plane-wave DFT calculation with PBE-GGA was carried out for an optimized crystal structure of GaSi2BBr.

The structure in CIF format:
```
data_GaSi2BBr
_cell_length_a 5.028
_cell_length_b 5.028
_cell_length_c 5.465
_cell_angle_alpha 90.00
_cell_angle_beta 90.00
_cell_angle_gamma 90.00
_symmetry_space_group_name_H-M 'P 4/m m m'
_symmetry_Int_Tables_number 123
_symmetry_space_group_name_Hall '-P 4 2'
loop_
_atom_site_label
_atom_site_type_symbol
_atom_site_fract_x
_atom_site_fract_y
_atom_site_fract_z
_atom_site_occupancy
Ga1 Ga 0.000 0.000 0.000 1
Si1 Si 0.000 0.500 0.500 1
B1 B 0.500 0.500 0.000 1
Br1 Br 0.000 0.000 0.500 1
```

## Properties
Raw formation energy (meV/atom): 1976
Spin magnetization (μB/cell): 0.0
Calculated total energy (hartree per atom): -0.091
ρ (g/cm3): 2.604
Energy above the lowest structure with this stoichiometry (meV/atom): 409

***

A plane-wave DFT calculation with PBE-GGA was carried out for an optimized crystal structure of Np2ScGa9.

The structure in CIF format:
```
data_Np2ScGa9
_cell_length_a 4.215
_cell_length_b 4.215
_cell_length_c 12.666
_cell_angle_alpha 90.00
_cell_angle_beta 90.00
_cell_angle_gamma 90.00
_symmetry_space_group_name_H-M 'P 4/m m m'
_symmetry_Int_Tables_number 123
_symmetry_space_group_name_Hall '-P 4 2'
loop_
_atom_site_label
_atom_site_type_symbol
_atom_site_fract_x
_atom_site_fract_y
_atom_site_fract_z
_atom_site_occupancy
Np1 Np 0.000 0.000 0.172 1
Sc1 Sc 0.000 0.000 0.500 1
Ga1 Ga 0.000 0.500 0.000 1
Ga2 Ga 0.000 0.500 0.340 1
Ga3 Ga 0.500 0.500 0.167 1
Ga4 Ga 0.500 0.500 0.500 1
```

## Properties
Energy of formation (eV/f.u.): -3.692
Spin magnetization (μB/cell): 7.7
Calculated total energy (hartree per atom): -0.193
ρ (g/cm3): 8.461

***

A plane-wave DFT calculation with PBE-GGA was carried out for an optimized crystal structure of InB2Te4.

The structure in CIF format:
```
data_InB2Te4
_cell_length_a 5.649
_cell_length_b 5.649
_cell_length_c 13.030
_cell_angle_alpha 90.00
_cell_angle_beta 90.00
_cell_angle_gamma 90.00
_symmetry_space_group_name_H-M 'I 4/m m m'
_symmetry_Int_Tables_number 139
_symmetry_space_group_name_Hall '-I 4 2'
loop_
_atom_site_label
_atom_site_type_symbol
_atom_site_fract_x
_atom_site_fract_y
_atom_site_fract_z
_atom_site_occupancy
In1 In 0.000 0.000 0.000 1
B1 B 0.000 0.000 0.439 1
Te1 Te 0.000 0.000 0.277 1
Te2 Te 0.000 0.500 0.000 1
```

## Properties
Raw formation energy (meV/atom): 527
Spin magnetization (μB/cell): 0.0
Calculated total energy (hartree per atom): -0.131
ρ (g/cm3): 5.166

***

A plane-wave DFT calculation with PBE-GGA was carried out for an optimized crystal structure of CoSe2Cl.

The structure in CIF format:
```
data_CoSe2Cl
_cell_length_a 3.265
_cell_length_b 4.689
_cell_length_c 12.311
_cell_angle_alpha 90.00
_cell_angle_beta 90.00
_cell_angle_gamma 90.00
_symmetry_space_group_name_H-M 'I m m 2'
_symmetry_Int_Tables_number 44
loop_
_symmetry_equiv_pos_as_xyz
'x,y,z'
'-x,-y,z'
'-x,y,z'
'x,-y,z'
'x+1/2,y+1/2,z+1/2'
'-x+1/2,-y+1/2,z+1/2'
'-x+1/2,y+1/2,z+1/2'
'x+1/2,-y+1/2,z+1/2'
loop_
_atom_site_label
_atom_site_type_symbol
_atom_site_fract_x
_atom_site_fract_y
_atom_site_fract_z
_atom_site_occupancy
Co1 Co 0.000 0.000 0.000 1
Se1 Se 0.000 0.000 0.542 1
Se2 Se 0.000 0.500 0.632 1
Cl1 Cl 0.000 0.500 0.366 1
```

## Properties
Raw formation energy (meV/atom): -65
Spin magnetization (μB/cell): 0.5
Calculated total energy (hartree per atom): -0.149
ρ (g/cm3): 4.446
Energy above the lowest structure with this stoichiometry (meV/atom): 186